DFT (PBE) results for Mg2ScAu after structural relaxation.

```
4
Lattice="4.8041 -0.0382 0.0410 2.4385 4.1393 0.0410 2.3778 1.3464 3.9493" Properties=species:S:1:pos:R:3 pbc="T T T"
Sc 4.8104 2.7239 2.0154
Mg 2.3781 1.3466 3.9488
Mg 7.2150 4.0855 3.0234
Au 2.4049 1.3618 1.0086
```

Final energy, eV for the cell shown: -14.51
Formation energy, kcal/mol of atoms: -9.89

***

DFT (PBE) results for MgSc5Au6 after structural relaxation.

```
12
Lattice="-0.1182 4.6729 -1.0445 -6.7003 -3.4177 -3.5363 1.1294 -0.5935 8.2129" Properties=species:S:1:pos:R:3 pbc="T T T"
Sc -0.2011 1.2844 5.7828
Sc -1.4692 -1.5308 4.3134
Sc -2.8445 0.3309 1.8161
Sc -4.1016 -2.4803 0.3632
Sc -5.4880 -0.6226 -2.1507
Mg 0.0000 0.0000 0.0000
Au -0.1256 0.6500 2.9326
Au -2.8966 0.9737 4.7014
Au -1.5219 2.5168 0.4093
Au -4.1671 -1.8550 3.2229
Au -2.7924 -0.3120 -1.0693
Au -5.5635 0.0118 0.6995
```

Final energy, eV for the cell shown: -62.32
Formation energy, kcal/mol of atoms: -18.07

***

DFT (PBE) results for MgSc2Au after structural relaxation.

```
4
Lattice="-1.0547 2.4488 2.2710 -1.8538 -2.4103 1.7380 5.4798 -1.3388 3.9884" Properties=species:S:1:pos:R:3 pbc="T T T"
Au 2.7554 -0.6732 2.0054
Mg 2.5084 -0.9489 4.8887
Sc 5.4527 -1.3322 3.9687
Sc 0.0745 -0.3543 3.1172
```

Final energy, eV for the cell shown: -19.06
Formation energy, kcal/mol of atoms: -8.78

***

DFT (PBE) results for MgScAu2 after structural relaxation.

```
4
Lattice="5.2855 -1.5399 -2.9455 -1.5754 5.2750 2.9455 -3.7870 0.0514 4.9639" Properties=species:S:1:pos:R:3 pbc="T T T"
Mg 0.0000 0.0000 0.0000
Sc -2.6812 2.6632 3.9547
Au -1.3280 1.3191 1.9588
Au -4.0344 4.0074 5.9506
```

Final energy, eV for the cell shown: -14.21
Formation energy, kcal/mol of atoms: 1.55

***

DFT (PBE) results for MgScAu6 after structural relaxation.

```
8
Lattice="3.9990 0.0000 1.0917 1.8449 4.6133 1.1123 0.0080 -0.1343 7.8412" Properties=species:S:1:pos:R:3 pbc="T T T"
Mg 0.0000 0.0000 0.0000
Sc 0.9265 2.2395 4.4767
Au 2.6219 3.9458 6.1368
Au 2.4625 1.0602 6.7205
Au 1.6934 1.7003 1.6674
Au 3.3895 3.4188 3.3246
Au 3.2301 0.5332 3.9083
Au 4.1586 2.7787 8.3778
```

Final energy, eV for the cell shown: -31.61
Formation energy, kcal/mol of atoms: -11.58

***

DFT (PBE) results for MgSc2Au after structural relaxation.

```
4
Lattice="-2.5239 4.4707 1.8889 -5.1555 -0.9208 1.5806 4.8027 -2.4037 1.0401" Properties=species:S:1:pos:R:3 pbc="T T T"
Au -3.8397 1.7750 1.7347
Mg -0.7805 1.9210 2.3319
Sc 0.0000 0.0000 0.0000
Sc -2.0963 -0.7747 2.1777
```

Final energy, eV for the cell shown: -18.76
Formation energy, kcal/mol of atoms: -7.05

***

DFT (PBE) results for MgSc2Au after structural relaxation.

```
4
Lattice="-2.4394 -2.5809 0.5857 3.5033 -3.2434 0.2990 0.3134 0.7728 4.7103" Properties=species:S:1:pos:R:3 pbc="T T T"
Sc 0.1567 0.3864 2.3551
Sc 1.7517 -1.6217 0.1495
Mg 0.6887 -2.5257 2.7975
Au -1.2197 -1.2904 0.2929
```

Final energy, eV for the cell shown: -19.30
Formation energy, kcal/mol of atoms: -10.20

***

DFT (PBE) results for MgSc2Au2 after structural relaxation.

```
5
Lattice="4.5776 0.0000 0.0000 0.0000 4.5776 0.0000 2.2888 2.2888 5.5959" Properties=species:S:1:pos:R:3 pbc="T T T"
Sc 4.5776 2.2888 2.7980
Sc 2.2888 4.5776 2.7980
Mg 0.0000 0.0000 0.0000
Au 2.2888 2.2888 1.3167
Au 4.5776 4.5776 4.2793
```

Final energy, eV for the cell shown: -22.97
Formation energy, kcal/mol of atoms: -9.97